Record 1
DFT (GGA-PBE) results for crystalline Ba4Cd5Bi6 at its relaxed geometry.

Crystal system ... orthorhombic
Space group ... No. 36
D(E_F) ... 9.5 states/eV/cell
Formation enthalpy at 0 K ... -0.527 eV/atom

Cell lengths 5.151, 11.677, 18.458 Å; angles 90.00, 90.00, 102.74 degrees
Fractional coordinates of all 30 atoms:
1 Cd 0.850 0.701 0.127
2 Cd 0.353 0.706 0.982
3 Ba 0.833 0.666 0.801
4 Bi 0.575 0.150 0.904
5 Ba 0.967 0.933 0.265
6 Bi 0.442 0.884 0.856
7 Cd 0.305 0.609 0.621
8 Bi 0.425 0.850 0.404
9 Bi 0.112 0.224 0.119
10 Cd 0.647 0.294 0.482
11 Cd 0.695 0.391 0.121
12 Cd 0.346 0.692 0.270
13 Bi 0.571 0.143 0.630
14 Ba 0.821 0.641 0.447
15 Bi 0.781 0.562 0.991
16 Cd 0.150 0.299 0.627
17 Bi 0.774 0.548 0.259
18 Ba 0.033 0.067 0.765
19 Cd 0.654 0.308 0.770
20 Ba 0.179 0.359 0.947
21 Bi 0.558 0.116 0.356
22 Bi 0.888 0.776 0.619
23 Ba 0.018 0.036 0.500
24 Cd 0.562 0.125 0.185
25 Bi 0.226 0.452 0.759
26 Cd 0.438 0.875 0.685
27 Bi 0.429 0.857 0.130
28 Ba 0.167 0.334 0.301
29 Ba 0.982 0.964 0.000
30 Bi 0.219 0.438 0.491

=====

Record 2
DFT (GGA-PBE) results for crystalline Y2TlPb at its relaxed geometry.

Crystal system ... tetragonal
Space group ... No. 139
D(E_F) ... 3.3 states/eV/cell
Formation enthalpy at 0 K ... -0.416 eV/atom

Cell lengths 5.654, 5.654, 5.654 Å; angles 127.14, 127.14, 78.03 degrees
Fractional coordinates of all 4 atoms:
1 Y 0.500 0.500 0.000
2 Pb 0.250 0.750 0.500
3 Y 0.000 0.000 0.000
4 Tl 0.750 0.250 0.500

=====

Record 3
DFT (GGA-PBE) results for crystalline SrPdAu2 at its relaxed geometry.

Crystal system ... trigonal
E above lowest polymorph ... 0 meV per atom
Space group ... No. 166
D(E_F) ... 3.5 states/eV/cell
Formation enthalpy at 0 K ... -0.591 eV/atom

Cell lengths 5.656, 5.656, 9.922 Å; angles 73.44, 73.44, 60.00 degrees
Fractional coordinates of all 12 atoms:
1 Pd 0.667 0.667 0.998
2 Pd 0.333 0.333 0.002
3 Au 0.417 0.919 0.248
4 Au 0.081 0.583 0.752
5 Au 0.919 0.417 0.248
6 Sr 0.141 0.141 0.576
7 Au 0.583 0.081 0.752
8 Au 0.417 0.417 0.248
9 Sr 0.000 0.000 0.000
10 Au 0.583 0.583 0.752
11 Sr 0.859 0.859 0.424
12 Pd 0.500 0.500 0.500

=====

Record 4
DFT (GGA-PBE) results for crystalline CsErSnS4 at its relaxed geometry.

Formation energy (no corrections) ... -1.21 eV per atom
Crystal system ... monoclinic
Space group ... No. 11
D(E_F) ... 0.0 states/eV/cell

Cell lengths 6.769, 7.027, 9.647 Å; angles 90.00, 109.00, 90.00 degrees
Fractional coordinates of all 14 atoms:
1 Sn 0.754 0.250 0.652
2 S 0.455 0.750 0.192
3 Cs 0.737 0.750 0.946
4 S 0.496 0.750 0.586
5 Er 0.794 0.750 0.455
6 Cs 0.263 0.250 0.054
7 Er 0.206 0.250 0.545
8 S 0.504 0.250 0.414
9 S 0.990 0.495 0.316
10 S 0.990 0.005 0.316
11 S 0.545 0.250 0.808
12 Sn 0.246 0.750 0.348
13 S 0.010 0.995 0.684
14 S 0.010 0.505 0.684